(1)
VASP calculation (PBE) on a relaxed structure of BaYBi3.

```
BaYBi3
1.0
6.134 0.000 0.000
0.000 6.134 0.000
0.000 0.000 6.134
Ba Y Bi
1 1 3
Direct
0.000 0.000 0.000 Ba
0.500 0.500 0.500 Y
0.000 0.000 0.500 Bi
0.000 0.500 0.000 Bi
0.500 0.000 0.000 Bi
```

Summary:
As for the relative energy among the computed polymorphs: 1050 meV/atom. As for the energy of formation from the pure elements: 0.6745 eV/atom. For the final energy, the calculation gives -3.331 eV/atom. As for the density of states at the Fermi level: 0.5240 states/eV per atom.

(2)
VASP calculation (PBE) on a relaxed structure of LiPmNdIn.

```
LiPmNdIn
1.0
7.666 0.000 0.000
0.000 7.666 0.000
0.000 0.000 7.666
Li Pm Nd In
4 4 4 4
Direct
0.000 0.000 0.000 Li
0.000 0.500 0.500 Li
0.500 0.000 0.500 Li
0.500 0.500 0.000 Li
0.250 0.250 0.250 Pm
0.250 0.750 0.750 Pm
0.750 0.250 0.750 Pm
0.750 0.750 0.250 Pm
0.250 0.250 0.750 Nd
0.250 0.750 0.250 Nd
0.750 0.250 0.250 Nd
0.750 0.750 0.750 Nd
0.000 0.000 0.500 In
0.000 0.500 0.000 In
0.500 0.000 0.000 In
0.500 0.500 0.500 In
```

Summary:
As for the energy of formation from the pure elements: -0.2663 eV/atom. For the final energy, the calculation gives -3.809 eV/atom. As for the density of states at the Fermi level: 1.1819 states/eV per atom.

(3)
VASP calculation (PBE) on a relaxed structure of BiPtBr6.

```
BiPtBr6
1.0
6.664 0.000 0.000
2.899 6.042 0.000
0.071 3.665 6.249
Bi Pt Br
1 1 6
Direct
0.000 0.000 0.000 Bi
0.500 0.000 0.500 Pt
0.124 0.470 0.257 Br
0.271 0.820 0.733 Br
0.438 0.840 0.266 Br
0.562 0.160 0.734 Br
0.729 0.180 0.267 Br
0.876 0.530 0.743 Br
```

Summary:
As for the relative energy among the computed polymorphs: 56 meV/atom. For the final energy, the calculation gives -2.864 eV/atom. Its energy relative to the elements, uncorrected is -2.95 eV/f.u. As for the density of states at the Fermi level: 0.3142 states/eV per atom.

(4)
VASP calculation (PBE) on a relaxed structure of BeTl2Pd.

```
BeTl2Pd
1.0
6.829 0.000 0.000
0.000 6.829 0.000
0.000 0.000 6.829
Be Tl Pd
4 8 4
Direct
0.000 0.000 0.000 Be
0.000 0.500 0.500 Be
0.500 0.000 0.500 Be
0.500 0.500 0.000 Be
0.250 0.250 0.250 Tl
0.250 0.250 0.750 Tl
0.250 0.750 0.250 Tl
0.250 0.750 0.750 Tl
0.750 0.250 0.250 Tl
0.750 0.250 0.750 Tl
0.750 0.750 0.250 Tl
0.750 0.750 0.750 Tl
0.000 0.000 0.500 Pd
0.000 0.500 0.000 Pd
0.500 0.000 0.000 Pd
0.500 0.500 0.500 Pd
```

Summary:
As for the relative energy among the computed polymorphs: 0 meV/atom. As for the energy of formation from the pure elements: 0.3978 eV/atom. For the final energy, the calculation gives -3.015 eV/atom. As for the density of states at the Fermi level: 0.4635 states/eV per atom.

(5)
VASP calculation (PBE) on a relaxed structure of Ac6In2Pt.

```
Ac6In2Pt
1.0
7.034 0.000 0.000
0.000 9.249 0.000
-6.947 0.000 10.772
Ac In Pt
12 4 2
Direct
0.073 0.182 0.443 Ac
0.073 0.318 0.943 Ac
0.308 0.673 0.443 Ac
0.308 0.827 0.943 Ac
0.376 0.032 0.263 Ac
0.376 0.468 0.763 Ac
0.624 0.532 0.237 Ac
0.624 0.968 0.737 Ac
0.692 0.173 0.057 Ac
0.692 0.327 0.557 Ac
0.927 0.682 0.057 Ac
0.927 0.818 0.557 Ac
0.178 0.119 0.748 In
0.178 0.381 0.248 In
0.822 0.619 0.752 In
0.822 0.881 0.252 In
0.000 0.000 0.000 Pt
0.000 0.500 0.500 Pt
```

Summary:
As for the relative energy among the computed polymorphs: 0 meV/atom. As for the energy of formation from the pure elements: -0.4069 eV/atom. For the final energy, the calculation gives -4.426 eV/atom. As for the density of states at the Fermi level: 1.4164 states/eV per atom.

(6)
VASP calculation (PBE) on a relaxed structure of Pr3Ni2Rh.

```
Pr3Ni2Rh
1.0
11.762 0.000 0.000
0.000 4.035 0.000
0.000 0.000 11.951
Pr Ni Rh
12 8 4
Direct
0.059 0.250 0.123 Pr
0.122 0.750 0.559 Pr
0.206 0.250 0.809 Pr
0.294 0.750 0.309 Pr
0.378 0.250 0.059 Pr
0.441 0.750 0.623 Pr
0.559 0.250 0.377 Pr
0.622 0.750 0.941 Pr
0.706 0.250 0.691 Pr
0.794 0.750 0.191 Pr
0.878 0.250 0.441 Pr
0.941 0.750 0.877 Pr
0.016 0.750 0.305 Ni
0.182 0.750 0.991 Ni
0.318 0.250 0.491 Ni
0.484 0.250 0.805 Ni
0.516 0.750 0.195 Ni
0.682 0.750 0.509 Ni
0.818 0.250 0.009 Ni
0.984 0.250 0.695 Ni
0.125 0.250 0.373 Rh
0.375 0.750 0.873 Rh
0.625 0.250 0.127 Rh
0.875 0.750 0.627 Rh
```

Summary:
As for the energy of formation from the pure elements: -0.3617 eV/atom. For the final energy, the calculation gives -5.904 eV/atom. As for the density of states at the Fermi level: 0.7100 states/eV per atom.